A geometry-optimized PtPbI structure. Source: Alexandria, functional PBE.

Formation energy without anion corrections ... -186 meV per atom
Energy ... -3.952 eV/atom
Space group ... No. 31

a = 6.8484 Å, b = 7.3376 Å, c = 7.3317 Å
α = 109.42°, β = 90.00°, γ = 90.00°
Positions (direct):
1 I 0.3560 0.3552 0.3953
2 I 0.8560 0.1448 0.1048
3 I 0.8560 0.6448 0.6047
4 I 0.3560 0.8552 0.8952
5 Pt 0.4999 0.2595 0.9908
6 Pt 0.9999 0.7405 0.0092
7 Pt 0.9999 0.2405 0.5093
8 Pt 0.4999 0.7595 0.4907
9 Pb 0.6461 0.1318 0.6182
10 Pb 0.1460 0.3681 0.8820
11 Pb 0.6460 0.6319 0.1180
12 Pb 0.1461 0.8682 0.3818


A geometry-optimized PtPb2I structure. Source: Alexandria, functional PBE.

Formation energy without anion corrections ... 180 meV per atom
Energy ... -3.572 eV/atom
Space group ... No. 225

a = 5.3685 Å, b = 5.3685 Å, c = 5.3685 Å
α = 60.00°, β = 60.00°, γ = 60.00°
Positions (direct):
1 Pb 0.2500 0.2500 0.2500
2 Pb 0.7500 0.7500 0.7500
3 Pt 0.5000 0.5000 0.5000
4 I 0.0000 0.0000 0.0000


A geometry-optimized Pt2Pb2I structure. Source: Alexandria, functional PBE.

Formation energy without anion corrections ... -30 meV per atom
Energy ... -4.240 eV/atom
Space group ... No. 127

a = 7.9632 Å, b = 7.9632 Å, c = 3.8276 Å
α = 90.00°, β = 90.00°, γ = 90.00°
Positions (direct):
1 Pb 0.8413 0.3413 0.5000
2 Pb 0.6587 0.8413 0.5000
3 Pb 0.3413 0.1587 0.5000
4 Pb 0.1587 0.6587 0.5000
5 Pt 0.8744 0.6256 0.0000
6 Pt 0.1256 0.3744 0.0000
7 Pt 0.3744 0.8744 0.0000
8 Pt 0.6256 0.1256 0.0000
9 I 0.0000 0.0000 0.0000
10 I 0.5000 0.5000 0.0000


A geometry-optimized PtPb2I structure. Source: Alexandria, functional PBE.

Formation energy without anion corrections ... -58 meV per atom
Energy ... -3.810 eV/atom
Space group ... No. 122

a = 6.6993 Å, b = 6.6993 Å, c = 8.6076 Å
α = 67.10°, β = 67.10°, γ = 90.00°
Positions (direct):
1 Pt 0.7500 0.2500 0.5000
2 Pt 0.0000 0.0000 0.0000
3 Pb 0.7135 0.1250 0.2500
4 Pb 0.8750 0.9635 0.7500
5 Pb 0.3750 0.2865 0.7500
6 Pb 0.0365 0.6250 0.2500
7 I 0.2500 0.7500 0.5000
8 I 0.5000 0.5000 0.0000


A geometry-optimized PtPbI3 structure. Source: Alexandria, functional PBE.

Formation energy without anion corrections ... -31 meV per atom
Energy ... -2.911 eV/atom
Space group ... No. 221

a = 5.5096 Å, b = 5.5096 Å, c = 5.5096 Å
α = 90.00°, β = 90.00°, γ = 90.00°
Positions (direct):
1 Pb 0.5000 0.5000 0.5000
2 I 0.0000 0.0000 0.5000
3 I 0.0000 0.5000 0.0000
4 I 0.5000 0.0000 0.0000
5 Pt 0.0000 0.0000 0.0000


A geometry-optimized PtPb2I structure. Source: Alexandria, functional PBE.

Formation energy without anion corrections ... -272 meV per atom
Energy ... -4.024 eV/atom
Space group ... No. 166

a = 4.1175 Å, b = 4.1175 Å, c = 8.5790 Å
α = 76.11°, β = 76.11°, γ = 60.00°
Positions (direct):
1 Pb 0.7309 0.7309 0.8073
2 Pb 0.2691 0.2691 0.1927
3 Pt 0.0000 0.0000 0.0000
4 I 0.5000 0.5000 0.5000